GaNiO2F | PBE+U | optimized geometry

Lattice parameters (Å, degrees): 3.839 3.839 3.766 90.00 90.00 90.00
Each line ends with the local moment (μB).
Positions (direct):
Ni 0.500 0.500 0.500  1.75
O 0.000 0.500 0.000  0.10
O 0.500 0.000 0.000  0.10
Ga 0.000 0.000 0.000  -0.01
F 0.000 0.000 0.500  0.00

Results
electronic total energy: -22.581 eV/cell
space group: P4/mmm
crystal system: tetragonal